VASP calculation (SCAN) on a crystal of LiMgRe2 relaxed with PBEsol.

Calculated values
Energy above the most stable polymorph in this dataset   108 meV/atom
Spin magnetization   0.00 μB/atom

a b c (Å): 2.606 5.048 5.279
angles (deg): 115.09 98.17 102.65
Element x y z (fractional)
Li 0.000 0.500 0.000
Re 0.500 0.500 0.500
Re 0.000 0.000 0.500
Mg 0.500 0.000 0.000


VASP calculation (SCAN) on a crystal of LiMgRh relaxed with PBEsol.

Calculated values
Energy above the most stable polymorph in this dataset   204 meV/atom
Spin magnetization   0.00 μB/atom

a b c (Å): 2.773 2.773 6.849
angles (deg): 96.89 96.89 114.06
Element x y z (fractional)
Mg 0.319 0.319 0.639
Rh 0.665 0.665 0.330
Li 0.016 0.016 0.032


The formation energy from the elements results, record by record, are as follows: 0.9 -0.4 eV per formula unit.
The VASP energy results, record by record, are as follows: -37.161 -13.838 eV per atom.